1.
# GGA-PBE LaSi2Pd3, relaxed
# * energy relative to the elements, uncorrected: -85 kJ per mole of atoms
data_LaSi2Pd3
_cell_length_a 4.084
_cell_length_b 8.529
_cell_length_c 10.053
_cell_angle_alpha 108.03
_cell_angle_beta 90.00
_cell_angle_gamma 103.85
_space_group_name_H-M_alt 'P 1'
_space_group_IT_number 1
_space_group_name_Hall 'P 1'
loop_
_atom_site_label
_atom_site_type_symbol
_atom_site_fract_x
_atom_site_fract_y
_atom_site_fract_z
Pd1 Pd 0.779 0.558 0.606
La1 La 0.846 0.693 0.305
Si1 Si 0.532 0.064 0.772
Pd2 Pd 0.629 0.258 0.202
Si2 Si 0.201 0.401 0.131
Si3 Si 0.468 0.936 0.228
Pd3 Pd 0.500 0.000 0.500
Pd4 Pd 0.955 0.910 0.666
Si4 Si 0.636 0.273 0.446
La2 La 0.000 0.000 0.000
Si5 Si 0.364 0.727 0.554
Pd5 Pd 0.045 0.090 0.334
Pd6 Pd 0.322 0.644 0.038
Pd7 Pd 0.678 0.356 0.962
Pd8 Pd 0.371 0.742 0.798
Si6 Si 0.799 0.599 0.869
La3 La 0.154 0.307 0.695
Pd9 Pd 0.221 0.442 0.394

---

2.
# GGA-PBE CsVInCl4, relaxed
# * energy relative to the elements, uncorrected: -117 kJ per mole of atoms
data_CsVInCl4
_cell_length_a 6.245
_cell_length_b 7.409
_cell_length_c 10.621
_cell_angle_alpha 90.00
_cell_angle_beta 115.10
_cell_angle_gamma 90.00
_space_group_name_H-M_alt 'P 1'
_space_group_IT_number 1
_space_group_name_Hall 'P 1'
loop_
_atom_site_label
_atom_site_type_symbol
_atom_site_fract_x
_atom_site_fract_y
_atom_site_fract_z
V1 V 0.722 0.250 0.679
Cs1 Cs 0.701 0.750 0.929
Cl1 Cl 0.977 0.502 0.735
V2 V 0.278 0.750 0.321
Cl2 Cl 0.977 0.998 0.735
Cl3 Cl 0.332 0.750 0.563
Cl4 Cl 0.342 0.750 0.116
Cl5 Cl 0.023 0.002 0.265
Cl6 Cl 0.658 0.250 0.884
Cs2 Cs 0.299 0.250 0.071
Cl7 Cl 0.668 0.250 0.437
Cl8 Cl 0.023 0.498 0.265
In1 In 0.166 0.250 0.502
In2 In 0.834 0.750 0.498

---

3.
# GGA-PBE LuZnCuRh, relaxed
# * E_tot: -19.06 eV/cell
data_LuZnCuRh
_cell_length_a 4.525
_cell_length_b 4.525
_cell_length_c 4.525
_cell_angle_alpha 60.00
_cell_angle_beta 60.00
_cell_angle_gamma 60.00
_space_group_name_H-M_alt 'P 1'
_space_group_IT_number 1
_space_group_name_Hall 'P 1'
loop_
_atom_site_label
_atom_site_type_symbol
_atom_site_fract_x
_atom_site_fract_y
_atom_site_fract_z
Cu1 Cu 0.250 0.250 0.250
Rh1 Rh 0.750 0.750 0.750
Zn1 Zn 0.500 0.500 0.500
Lu1 Lu 0.000 0.000 0.000

---

4.
# GGA-PBE PmNd2DyEr2, relaxed
# * E_tot: -55.24 eV/cell
data_PmNd2DyEr2
_cell_length_a 5.673
_cell_length_b 9.836
_cell_length_c 7.046
_cell_angle_alpha 90.00
_cell_angle_beta 90.00
_cell_angle_gamma 90.00
_space_group_name_H-M_alt 'P 1'
_space_group_IT_number 1
_space_group_name_Hall 'P 1'
loop_
_atom_site_label
_atom_site_type_symbol
_atom_site_fract_x
_atom_site_fract_y
_atom_site_fract_z
Er1 Er 0.500 0.166 0.250
Nd1 Nd 0.500 0.833 0.252
Er2 Er 0.000 0.666 0.250
Nd2 Nd 0.000 0.667 0.752
Pm1 Pm 0.500 0.500 0.500
Er3 Er 0.500 0.834 0.750
Pm2 Pm 0.000 0.000 0.000
Dy1 Dy 0.000 0.000 0.500
Nd3 Nd 0.500 0.167 0.748
Dy2 Dy 0.500 0.500 0.000
Er4 Er 0.000 0.334 0.750
Nd4 Nd 0.000 0.333 0.248

---

5.
# GGA-PBE ZnRu3Se, relaxed
# * energy above the lowest structure with this stoichiometry: 0.000 eV per atom
# * energy relative to the elements, uncorrected: 89 kJ per mole of atoms
data_ZnRu3Se
_cell_length_a 4.506
_cell_length_b 4.506
_cell_length_c 4.506
_cell_angle_alpha 90.00
_cell_angle_beta 90.00
_cell_angle_gamma 90.00
_space_group_name_H-M_alt 'P 1'
_space_group_IT_number 1
_space_group_name_Hall 'P 1'
loop_
_atom_site_label
_atom_site_type_symbol
_atom_site_fract_x
_atom_site_fract_y
_atom_site_fract_z
Ru1 Ru 0.000 0.500 0.000
Se1 Se 0.000 0.000 0.000
Ru2 Ru 0.500 0.000 0.000
Zn1 Zn 0.500 0.500 0.500
Ru3 Ru 0.000 0.000 0.500

---

6.
# GGA-PBE Nd8Cd2Pb, relaxed
# * E_tot: -45.97 eV/cell
data_Nd8Cd2Pb
_cell_length_a 5.492
_cell_length_b 8.867
_cell_length_c 8.891
_cell_angle_alpha 119.04
_cell_angle_beta 107.99
_cell_angle_gamma 90.00
_space_group_name_H-M_alt 'P 1'
_space_group_IT_number 1
_space_group_name_Hall 'P 1'
loop_
_atom_site_label
_atom_site_type_symbol
_atom_site_fract_x
_atom_site_fract_y
_atom_site_fract_z
Nd1 Nd 0.318 0.047 0.636
Nd2 Nd 0.682 0.953 0.364
Nd3 Nd 0.859 0.809 0.718
Nd4 Nd 0.593 0.453 0.187
Cd1 Cd 0.777 0.389 0.554
Pb1 Pb 0.500 0.000 0.000
Nd5 Nd 0.407 0.547 0.813
Cd2 Cd 0.223 0.611 0.446
Nd6 Nd 0.141 0.191 0.282
Nd7 Nd 0.931 0.280 0.862
Nd8 Nd 0.069 0.720 0.138

---

7.
# GGA-PBE LuPuHgRu, relaxed
# * E_tot: -29.02 eV/cell
data_LuPuHgRu
_cell_length_a 4.997
_cell_length_b 4.997
_cell_length_c 4.997
_cell_angle_alpha 60.00
_cell_angle_beta 60.00
_cell_angle_gamma 60.00
_space_group_name_H-M_alt 'P 1'
_space_group_IT_number 1
_space_group_name_Hall 'P 1'
loop_
_atom_site_label
_atom_site_type_symbol
_atom_site_fract_x
_atom_site_fract_y
_atom_site_fract_z
Ru1 Ru 0.250 0.250 0.250
Pu1 Pu 0.000 0.000 0.000
Lu1 Lu 0.500 0.500 0.500
Hg1 Hg 0.750 0.750 0.750

---

8.
# GGA-PBE SrMg4Be, relaxed
# * E_tot: -9.66 eV/cell
data_SrMg4Be
_cell_length_a 5.999
_cell_length_b 5.999
_cell_length_c 5.999
_cell_angle_alpha 60.00
_cell_angle_beta 60.00
_cell_angle_gamma 60.00
_space_group_name_H-M_alt 'P 1'
_space_group_IT_number 1
_space_group_name_Hall 'P 1'
loop_
_atom_site_label
_atom_site_type_symbol
_atom_site_fract_x
_atom_site_fract_y
_atom_site_fract_z
Mg1 Mg 0.878 0.374 0.374
Mg2 Mg 0.374 0.878 0.374
Mg3 Mg 0.374 0.374 0.374
Mg4 Mg 0.374 0.374 0.878
Be1 Be 0.000 0.000 0.000
Sr1 Sr 0.750 0.750 0.750

---

no.,spin magnetization (μB per atom)
1,0.000
2,0.429
3,0.000
4,0.000
5,0.000
6,0.000
7,1.323
8,0.000